A relaxed RbRu3N crystal. Source: the Alexandria database, functional PBE.

Structure (extended XYZ):
```
5
Lattice="4.250 0.000 0.000 0.000 4.250 0.000 0.000 0.000 4.250" Properties=species:S:1:pos:R:3 pbc="T T T"
Rb 0.000 0.000 0.000
Ru 0.000 2.125 2.125
Ru 2.125 0.000 2.125
Ru 2.125 2.125 0.000
N 2.125 2.125 2.125
```

Energy relative to the elements, uncorrected = 1.155 eV/atom
SG = No. 221



A relaxed MgMn4Fe crystal. Source: the Alexandria database, functional PBE.

Structure (extended XYZ):
```
6
Lattice="0.000 3.329 3.329 3.329 0.000 3.329 3.329 3.329 0.000" Properties=species:S:1:pos:R:3 pbc="T T T"
Mg 0.000 0.000 0.000
Mn 4.159 2.500 2.500
Mn 2.500 4.159 2.500
Mn 2.500 2.500 4.159
Mn 4.159 4.159 4.159
Fe 1.665 1.665 1.665
```

SG = No. 216
Energy = -7.536 eV/atom



A relaxed MgZrSc2 crystal. Source: the Alexandria database, functional PBE.

Structure (extended XYZ):
```
4
Lattice="3.233 0.000 0.000 0.000 4.472 0.000 0.000 0.000 6.531" Properties=species:S:1:pos:R:3 pbc="T T T"
Mg 0.000 0.000 0.000
Zr 0.000 0.000 3.266
Sc 1.617 2.236 1.708
Sc 1.617 2.236 4.823
```

SG = No. 47
Energy = -5.679 eV/atom



A relaxed Cd2NiN crystal. Source: the Alexandria database, functional PBE.

Structure (extended XYZ):
```
8
Lattice="-4.493 4.493 1.749 4.493 -4.493 1.749 4.493 4.493 -1.749" Properties=species:S:1:pos:R:3 pbc="T T T"
Cd 1.070 2.246 0.437
Cd -2.246 3.423 1.312
Cd -1.070 6.739 0.437
Cd 2.246 5.563 1.312
Ni 4.493 0.000 0.875
Ni 0.000 0.000 1.749
N 0.000 0.000 0.000
N 0.000 4.493 0.875
```

Energy relative to the elements, uncorrected = 0.268 eV/atom
SG = No. 122



> What is the formula in the first record?

RbRu3N